Crystalline Cs3Rb3CrF8 at its relaxed geometry. Source: Alexandria via LeMat-Bulk, functional GGA+U.

Calculated values
* SG: C2/m
* total magnetic moment: 4.00 Bohr magnetons per cell
* D(E_F): 0.00 states/eV/f.u.
* raw total energy: -0.165 hartree per atom

a = 8.0331 Å, b = 8.0331 Å, c = 8.2294 Å
α = 119.33°, β = 119.33°, γ = 60.28°
Positions (direct):
Cs  0.0000  0.0000  0.0000
Cs  0.0000  0.5000  0.0000
Cs  0.5000  0.0000  0.0000
Rb  0.0000  0.5000  0.5000
Rb  0.5000  0.0000  0.5000
Rb  0.5000  0.5000  0.5000
Cr  0.0000  0.0000  0.5000
F  0.1796  0.1796  0.6728
F  0.1989  0.7932  0.6904
F  0.2068  0.8011  0.3096
F  0.2558  0.2558  0.2682
F  0.7442  0.7442  0.7318
F  0.7932  0.1989  0.6904
F  0.8011  0.2068  0.3096
F  0.8204  0.8204  0.3272